Record 1
CaZrHgPd, optimized geometry, DFT PBE; final energy = -17.43 eV per cell; N(E_F) = 3.27 states/eV per cell; magnetization = 0.00 μB per formula unit; formation enthalpy at 0 K = -0.35 eV/atom; symmetry = F-43m (216)
1.0
0.000 3.528 3.528
3.528 0.000 3.528
3.528 3.528 0.000
Ca Zr Hg Pd
1 1 1 1
Cartesian
0.000 0.000 0.000
3.528 3.528 3.528
5.291 5.291 5.291
1.764 1.764 1.764

---

Record 2
LaGdInAu, optimized geometry, DFT PBE; final energy = -27.40 eV per cell; N(E_F) = 5.31 states/eV per cell; magnetization = 7.56 μB per formula unit; formation enthalpy at 0 K = -0.59 eV/atom; symmetry = F-43m (216)
1.0
0.000 3.809 3.809
3.809 0.000 3.809
3.809 3.809 0.000
La Gd In Au
1 1 1 1
Cartesian
0.000 0.000 0.000
3.809 3.809 3.809
1.904 1.904 1.904
5.713 5.713 5.713

---

Record 3
CsCaCd2, optimized geometry, DFT PBE; final energy = -5.12 eV per cell; N(E_F) = 4.49 states/eV per cell; magnetization = 0.00 μB per formula unit; formation enthalpy at 0 K = -0.11 eV/atom; symmetry = P4/mmm (123); E above lowest polymorph = 0 meV per atom
1.0
4.234 0.000 0.000
0.000 4.234 0.000
0.000 0.000 8.688
Cs Ca Cd
1 1 2
Cartesian
0.000 0.000 0.000
0.000 0.000 4.344
2.117 2.117 2.831
2.117 2.117 5.857

---

Record 4
Tb12YSc6, optimized geometry, DFT PBE; final energy = -95.47 eV per cell; N(E_F) = 29.20 states/eV per cell; magnetization = 0.00 μB per formula unit; formation enthalpy at 0 K = 0.24 eV/atom; symmetry = Im-3 (204); E above lowest polymorph = 0 meV per atom
1.0
-5.234 5.234 5.234
5.234 -5.234 5.234
5.234 5.234 -5.234
Tb Y Sc
12 1 6
Cartesian
5.234 -2.435 3.167
2.798 2.067 0.000
7.669 2.067 0.000
3.167 5.234 -2.435
2.067 0.000 2.798
0.000 2.798 2.067
5.234 2.435 3.167
3.167 5.234 2.435
2.067 0.000 7.669
-2.435 3.167 5.234
2.435 3.167 5.234
0.000 7.669 2.067
0.000 0.000 0.000
5.234 0.000 1.440
5.234 3.793 0.000
1.440 5.234 0.000
3.793 0.000 5.234
0.000 1.440 5.234
0.000 5.234 3.793

---

Record 5
TlAs2Pd7, optimized geometry, DFT PBE; final energy = -51.27 eV per cell; N(E_F) = 5.04 states/eV per cell; magnetization = 0.00 μB per formula unit; formation enthalpy at 0 K = -0.33 eV/atom; symmetry = I4/mmm (139); E above lowest polymorph = 0 meV per atom
1.0
-2.046 2.046 10.228
2.046 -2.046 10.228
2.046 2.046 -10.228
Tl As Pd
1 2 7
Cartesian
0.000 0.000 0.000
0.000 0.000 6.694
0.000 0.000 13.763
2.046 0.000 2.105
2.046 0.000 5.114
2.046 0.000 8.124
0.000 0.000 10.228
0.000 2.046 2.105
0.000 2.046 5.114
0.000 2.046 8.124

---

Record 6
CaZn2PtAu4, optimized geometry, DFT PBE; final energy = -26.07 eV per cell; N(E_F) = 2.84 states/eV per cell; magnetization = 0.00 μB per formula unit; formation enthalpy at 0 K = -0.30 eV/atom; symmetry = R-3m (166)
1.0
2.267 1.309 8.452
-2.267 1.309 8.452
0.000 -2.617 8.452
Ca Zn Pt Au
1 2 1 4
Cartesian
0.000 0.000 0.000
0.000 0.000 6.015
0.000 0.000 19.339
0.000 0.000 12.677
0.000 0.000 3.110
0.000 0.000 9.938
0.000 0.000 15.416
0.000 0.000 22.244

---

Record 7
TaReGe2Br, optimized geometry, DFT PBE; final energy = -27.73 eV per cell; N(E_F) = 3.14 states/eV per cell; formation energy (no corrections) = 1495 meV/atom; magnetization = 4.51 μB per formula unit; symmetry = P4/mmm (123)
1.0
5.119 0.000 0.000
0.000 5.119 0.000
0.000 0.000 4.919
Ta Re Ge Br
1 1 2 1
Cartesian
0.000 0.000 0.000
2.560 2.560 2.460
0.000 2.560 0.000
2.560 0.000 0.000
0.000 0.000 2.460

---

Record 8
TiVTcNi, optimized geometry, DFT PBE; final energy = -34.38 eV per cell; N(E_F) = 5.50 states/eV per cell; magnetization = 0.01 μB per formula unit; formation enthalpy at 0 K = -0.31 eV/atom; symmetry = F-43m (216)
1.0
0.000 3.014 3.014
3.014 0.000 3.014
3.014 3.014 0.000
Ti V Tc Ni
1 1 1 1
Cartesian
0.000 0.000 0.000
3.014 3.014 3.014
1.507 1.507 1.507
4.521 4.521 4.521